Record 1
Ca2InPb meta-GGA SCAN single point on PBEsol structure; energy of formation = -0.68 eV/atom; electronic total energy = -32.80 eV/atom
1.0
3.836 0.000 0.000
0.000 3.836 0.000
0.000 0.000 7.620
Ca In Pb
2 1 1
direct
0.000 0.000 0.247
0.000 0.000 0.753
0.500 0.500 0.000
0.500 0.500 0.500


Record 2
Ca2InPb meta-GGA SCAN single point on PBEsol structure; energy of formation = -0.68 eV/atom; electronic total energy = -32.81 eV/atom
1.0
0.000 3.828 3.828
3.828 0.000 3.828
3.828 3.828 0.000
Ca In Pb
2 1 1
direct
0.250 0.250 0.250
0.750 0.750 0.750
0.000 0.000 0.000
0.500 0.500 0.500


Record 3
CaInSiPb2 meta-GGA SCAN single point on PBEsol structure; formation energy without anion corrections = 0.69 eV per atom; electronic total energy = -40.23 eV/atom
1.0
5.509 0.000 0.000
0.000 5.509 0.000
0.000 0.000 5.755
Ca In Si Pb
1 1 1 2
direct
0.000 0.000 0.000
0.000 0.000 0.500
0.500 0.500 0.000
0.000 0.500 0.500
0.500 0.000 0.500


Record 4
CaInPd meta-GGA SCAN single point on PBEsol structure; energy of formation = -0.79 eV/atom; electronic total energy = -26.07 eV/atom
1.0
7.166 0.000 0.000
0.000 4.391 0.000
0.000 0.000 8.345
Ca In Pd
4 4 4
direct
0.033 0.250 0.178
0.467 0.750 0.678
0.533 0.250 0.322
0.967 0.750 0.822
0.147 0.250 0.562
0.353 0.750 0.062
0.647 0.250 0.938
0.853 0.750 0.438
0.233 0.750 0.374
0.267 0.250 0.874
0.733 0.750 0.126
0.767 0.250 0.626


Q: Which mass density values were calculated for the entries above? A: 6.0 6.0 5.7 6.6, in g/cm3.
Q: Which N(E_F) values were calculated for the entries above? A: 1.8 2.1 2.3 5.1, in states/eV per cell.